1.
An optimized crystal structure of Na2BiW. Source: Alexandria via LeMat-Bulk, functional PBE.

The structure belongs to space group I-42d (No. 122); the cell edges are 8.976, 8.976 and 5.546 Å and the angles 90.00°, 90.00° and 90.00°. The distinct sites, in fractional coordinates, are Na at (0.243, 0.750, 0.125), Bi at (0.000, 0.000, 0.500) and W at (0.000, 0.000, 0.000).

Its density of states at the Fermi level is 7.54 states/eV/cell. For the raw total energy, the calculation gives -59.85 eV per cell. The size of the total moment comes out at 2.99 μB per formula unit.

***

2.
An optimized crystal structure of CeDyZnIr. Source: Alexandria via LeMat-Bulk, functional PBE.

The structure belongs to space group F-43m (No. 216); the cell edges are 7.044, 7.044 and 7.044 Å and the angles 90.00°, 90.00° and 90.00°. The distinct sites, in fractional coordinates, are Ce at (0.000, 0.000, 0.000), Dy at (0.000, 0.000, 0.500), Zn at (0.250, 0.250, 0.750) and Ir at (0.250, 0.250, 0.250).

Its density of states at the Fermi level is 24.26 states/eV/cell. For the raw total energy, the calculation gives -90.99 eV per cell. The size of the total moment comes out at 0.67 μB per formula unit.

***

3.
An optimized crystal structure of LiSm3Pd12. Source: Alexandria via LeMat-Bulk, functional PBE.

The structure belongs to space group P4/mmm (No. 123); the cell edges are 4.151, 4.151 and 16.113 Å and the angles 90.00°, 90.00° and 90.00°. The distinct sites, in fractional coordinates, are Li at (0.000, 0.000, 0.000), Sm at (0.000, 0.000, 0.240), Sm at (0.000, 0.000, 0.500), Pd at (0.000, 0.500, 0.111), Pd at (0.000, 0.500, 0.370), Pd at (0.500, 0.500, 0.000), Pd at (0.500, 0.500, 0.240) and Pd at (0.500, 0.500, 0.500).

Its density of states at the Fermi level is 14.15 states/eV/cell. For the raw total energy, the calculation gives -88.86 eV per cell. The size of the total moment comes out at 0.00 μB per formula unit.